The following is a DFT calculation (PBE) of crystalline CaFe2Te at its relaxed geometry.

```
4
Lattice="3.6715 0.0000 0.0000 0.0000 3.6715 0.0000 0.0000 0.0000 6.4191" Properties=species:S:1:pos:R:3 pbc="T T T"
Ca 0.0000 0.0000 0.0000
Fe 0.0000 1.8358 2.6017
Fe 1.8358 0.0000 2.6017
Te 1.8358 1.8358 4.5649
```

Properties
The formation energy without anion corrections is 0.065 eV per atom. For the density of states at the Fermi level, the calculation gives 3.44 states/eV per cell.

---

The following is a DFT calculation (PBE) of crystalline BaLiTc2 at its relaxed geometry.

```
8
Lattice="5.2324 0.0000 0.0000 0.0000 10.6534 0.0000 0.0000 0.0000 2.8417" Properties=species:S:1:pos:R:3 pbc="T T T"
Ba 0.0000 0.0000 0.0000
Ba 2.6162 5.3267 0.0000
Li 0.0000 5.3267 0.0000
Li 2.6162 0.0000 0.0000
Tc 1.3081 2.6633 1.4209
Tc 1.3081 7.9900 1.4209
Tc 3.9243 2.6633 1.4209
Tc 3.9243 7.9900 1.4209
```

Properties
As for the energy of formation from the pure elements: 1012 meV per atom. For the density of states at the Fermi level, the calculation gives 4.76 states/eV per cell.

---

The following is a DFT calculation (PBE) of crystalline Er6CoTe at its relaxed geometry.

```
16
Lattice="6.8780 0.0000 0.0000 0.0000 10.8915 0.0000 -2.0452 0.0000 6.4904" Properties=species:S:1:pos:R:3 pbc="T T T"
Er 0.9630 1.9617 1.4492
Er 0.9630 8.9298 1.4492
Er 0.0492 0.0000 5.1165
Er 1.3446 5.4458 1.3739
Er 0.4308 3.4840 5.0412
Er 0.4308 7.4075 5.0412
Er 4.4020 3.4840 1.4492
Er 4.4020 7.4075 1.4492
Er 3.4882 5.4458 5.1165
Er 4.7836 0.0000 1.3739
Er 3.8698 1.9617 5.0412
Er 3.8698 8.9298 5.0412
Co 0.0000 0.0000 0.0000
Co 3.4390 5.4458 0.0000
Te -1.0226 5.4458 3.2452
Te 2.4164 0.0000 3.2452
```

Properties
The formation energy without anion corrections is -0.248 eV per atom. For the density of states at the Fermi level, the calculation gives 17.95 states/eV per cell.

---

The following is a DFT calculation (PBE) of crystalline TbGe6Pd12 at its relaxed geometry.

```
19
Lattice="5.7768 3.3353 2.8121 -5.7768 3.3353 2.8121 0.0000 -6.6705 2.8121" Properties=species:S:1:pos:R:3 pbc="T T T"
Tb 0.0000 0.0000 0.0000
Ge 0.0000 -2.9233 3.4129
Ge -2.5316 1.4616 3.4129
Ge -2.5316 -1.4616 5.0234
Ge 2.5316 1.4616 3.4129
Ge 2.5316 -1.4616 5.0234
Ge 0.0000 2.9233 5.0234
Pd -2.1811 -3.7778 4.2181
Pd -4.3622 0.0000 4.2181
Pd -1.4611 -0.8436 2.7899
Pd 1.4611 -0.8436 2.7898
Pd 0.0000 1.6871 2.7898
Pd 2.1811 -3.7778 4.2181
Pd -2.1811 3.7778 4.2181
Pd 0.0000 -1.6871 5.6464
Pd -1.4611 0.8436 5.6464
Pd 1.4611 0.8436 5.6464
Pd 4.3622 0.0000 4.2181
Pd 2.1811 3.7778 4.2181
```

Properties
As for the energy of formation from the pure elements: -478 meV per atom. For the density of states at the Fermi level, the calculation gives 9.24 states/eV per cell.

---

The following is a DFT calculation (PBE) of crystalline BaAgGeRh2 at its relaxed geometry.

```
5
Lattice="5.0001 0.0000 0.0000 0.0000 5.0001 0.0000 0.0000 0.0000 5.6107" Properties=species:S:1:pos:R:3 pbc="T T T"
Ba 0.0000 0.0000 0.0000
Ag 0.0000 0.0000 2.8053
Ge 2.5001 2.5001 0.0000
Rh 0.0000 2.5001 2.8053
Rh 2.5001 0.0000 2.8053
```

Properties
As for the energy of formation from the pure elements: 1063 meV per atom. For the density of states at the Fermi level, the calculation gives 4.64 states/eV per cell.

---

The following is a DFT calculation (PBE) of crystalline Ce3Co2Si2 at its relaxed geometry.

```
28
Lattice="5.4626 0.0000 0.0000 0.0000 7.8600 0.0000 0.0000 0.0000 12.3827" Properties=species:S:1:pos:R:3 pbc="T T T"
Ce 0.8501 1.9583 3.0957
Ce 0.8501 1.9716 9.2871
Ce 1.8603 4.7187 1.1581
Ce 1.8603 4.7187 5.0333
Ce 1.8603 7.0712 7.3495
Ce 1.8603 7.0712 11.2246
Ce 3.6022 0.7887 1.1581
Ce 3.6022 0.7887 5.0333
Ce 3.6022 3.1413 7.3495
Ce 3.6022 3.1413 11.2246
Ce 4.6125 5.8883 3.0957
Ce 4.6125 5.9016 9.2871
Co 0.6320 4.2352 7.2933
Co 0.6320 4.2352 11.2808
Co 0.6320 7.5548 1.1019
Co 0.6320 7.5548 5.0895
Co 4.8306 0.3052 7.2933
Co 4.8306 0.3052 11.2808
Co 4.8306 3.6248 1.1019
Co 4.8306 3.6248 5.0895
Si 0.8067 1.9650 0.0000
Si 0.8067 1.9650 6.1914
Si 1.8486 4.7381 9.2871
Si 1.8486 7.0518 3.0957
Si 3.6140 0.8081 9.2871
Si 3.6140 3.1219 3.0957
Si 4.6559 5.8950 0.0000
Si 4.6559 5.8950 6.1914
```

Properties
The formation energy without anion corrections is -0.604 eV per atom. For the density of states at the Fermi level, the calculation gives 44.51 states/eV per cell.